MnAuO3 | Alexandria via LeMat-Bulk | GGA+U | relaxed; E_tot = -5.916 eV per atom; crystal system = monoclinic
1.0
4.924 0.198 0.000
0.472 4.637 0.000
0.000 0.000 6.065
Au O Mn
2 6 2
Cartesian
0.000 0.000 0.000
0.000 0.000 3.032
3.273 1.344 0.057
4.739 3.663 1.516
2.123 3.492 3.089
3.273 1.344 2.976
0.658 1.172 4.548
2.123 3.492 6.008
2.882 2.591 1.516
2.515 2.244 4.548